No. 1
First-principles (PBE-GGA) data for TbY2Mn after structural relaxation, as listed in Alexandria via LeMat-Bulk.

```
4
Lattice="1.7483 1.0094 10.5582 -1.7483 1.0094 10.5582 0.0000 -2.0188 10.5582" Properties=species:S:1:pos:R:3 pbc="T T T"
Tb 0.0000 0.0000 0.0000
Y 0.0000 0.0000 7.5685
Y 0.0000 0.0000 24.1062
Mn 0.0000 0.0000 15.8374
```

Results
Density in kg/m³: 5818
Distance to the lowest polymorph of the same formula in meV/atom: 125

No. 2
First-principles (PBE-GGA) data for Y2ReRu after structural relaxation, as listed in Alexandria via LeMat-Bulk.

```
4
Lattice="0.0000 3.3857 3.3857 3.3857 0.0000 3.3857 3.3857 3.3857 0.0000" Properties=species:S:1:pos:R:3 pbc="T T T"
Y 0.0000 0.0000 0.0000
Y 1.6928 1.6928 1.6928
Re 5.0785 5.0785 5.0785
Ru 3.3857 3.3857 3.3857
```

Results
Density in kg/m³: 9950
Distance to the lowest polymorph of the same formula in meV/atom: 353

No. 3
First-principles (PBE-GGA) data for La2HfPaAs4 after structural relaxation, as listed in Alexandria via LeMat-Bulk.

```
8
Lattice="7.1153 0.0000 0.0000 0.0000 4.1395 0.0000 -2.3840 0.0000 6.8850" Properties=species:S:1:pos:R:3 pbc="T T T"
La 0.0000 0.0000 0.0000
La 3.5576 2.0697 0.0000
Hf -1.1920 2.0697 3.4425
Pa 2.3656 0.0000 3.4425
As -0.0602 0.0000 4.9605
As 1.1192 2.0697 1.8895
As 3.6120 2.0697 4.9956
As 4.7915 0.0000 1.9245
```

Results
Density in kg/m³: 8082
E_tot in eV/atom: -7.2674

No. 4
First-principles (PBE-GGA) data for CsCd3Rh after structural relaxation, as listed in Alexandria via LeMat-Bulk.

```
10
Lattice="6.5653 0.0000 0.0000 0.0000 7.1666 0.0000 -2.6208 0.0000 6.2244" Properties=species:S:1:pos:R:3 pbc="T T T"
Cs 0.7822 1.7917 1.4746
Cs 3.1623 5.3750 4.7499
Cd 0.0666 5.3750 2.3536
Cd -0.0838 0.1354 4.8071
Cd -0.0838 3.4479 4.8071
Cd 4.0283 3.7187 1.4174
Cd 4.0283 7.0312 1.4174
Cd 3.8778 1.7917 3.8709
Rh 2.0805 5.3750 0.4950
Rh 1.8640 1.7917 5.7295
```

Results
Density in kg/m³: 6498
Distance to the lowest polymorph of the same formula in meV/atom: 196

Repeat the fourth record exactly.
First-principles (PBE-GGA) data for CsCd3Rh after structural relaxation, as listed in Alexandria via LeMat-Bulk.

```
10
Lattice="6.5653 0.0000 0.0000 0.0000 7.1666 0.0000 -2.6208 0.0000 6.2244" Properties=species:S:1:pos:R:3 pbc="T T T"
Cs 0.7822 1.7917 1.4746
Cs 3.1623 5.3750 4.7499
Cd 0.0666 5.3750 2.3536
Cd -0.0838 0.1354 4.8071
Cd -0.0838 3.4479 4.8071
Cd 4.0283 3.7187 1.4174
Cd 4.0283 7.0312 1.4174
Cd 3.8778 1.7917 3.8709
Rh 2.0805 5.3750 0.4950
Rh 1.8640 1.7917 5.7295
```

Results
Density in kg/m³: 6498
Distance to the lowest polymorph of the same formula in meV/atom: 196

Q: density of number 2 (Y2ReRu)?
A: 9950 kg/m³

Repeat the fourth record exactly.
First-principles (PBE-GGA) data for CsCd3Rh after structural relaxation, as listed in Alexandria via LeMat-Bulk.

```
10
Lattice="6.5653 0.0000 0.0000 0.0000 7.1666 0.0000 -2.6208 0.0000 6.2244" Properties=species:S:1:pos:R:3 pbc="T T T"
Cs 0.7822 1.7917 1.4746
Cs 3.1623 5.3750 4.7499
Cd 0.0666 5.3750 2.3536
Cd -0.0838 0.1354 4.8071
Cd -0.0838 3.4479 4.8071
Cd 4.0283 3.7187 1.4174
Cd 4.0283 7.0312 1.4174
Cd 3.8778 1.7917 3.8709
Rh 2.0805 5.3750 0.4950
Rh 1.8640 1.7917 5.7295
```

Results
Density in kg/m³: 6498
Distance to the lowest polymorph of the same formula in meV/atom: 196